Al2CrMoBr | GGA-PBE | optimized geometry

a = 4.7930 Å, b = 4.5640 Å, c = 4.7930 Å
α = 90.00°, β = 90.00°, γ = 90.00°
Fractional coordinates of all 5 atoms:
Cr  0.5000  0.5000  0.5000
Mo  0.0000  0.5000  0.0000
Al  0.0000  0.0000  0.5000
Al  0.5000  0.0000  0.0000
Br  0.0000  0.0000  0.0000

Properties
Total moment in μB/cell: 0.618
Space-group type: P4/mmm
Uncorrected formation energy in eV per atom: 1.8671